(1)
K3ErSc3Te8 GGA-PBE relaxed; space-group type = C2/m; VASP energy = -70.34 eV per cell; density = 4.584 g/cm3; E_form (uncorrected) = -1.224 eV per atom
1.0
-7.790 0.741 3.152
1.110 -2.617 -7.940
2.181 -6.530 6.927
Sc K Er Te
3 3 1 8
direct
0.500 0.000 0.500 Sc
0.000 0.500 0.500 Sc
0.500 0.500 0.500 Sc
0.500 0.500 0.000 K
0.000 0.500 0.000 K
0.000 0.000 0.000 K
0.000 0.000 0.500 Er
0.241 0.963 0.703 Te
0.759 0.037 0.297 Te
0.241 0.482 0.703 Te
0.759 0.518 0.297 Te
0.733 0.466 0.698 Te
0.278 0.037 0.297 Te
0.267 0.534 0.302 Te
0.722 0.963 0.703 Te

(2)
KErSe2 GGA-PBE relaxed; space-group type = R3m; VASP energy = -19.58 eV per cell; density = 5.167 g/cm3; E_form (uncorrected) = -1.738 eV per atom
1.0
-1.791 -3.754 0.045
2.070 -3.309 -1.438
2.986 -3.648 6.677
Se K Er
2 1 1
direct
0.068 0.068 0.796 Se
0.267 0.267 0.200 Se
0.498 0.498 0.505 K
0.667 0.667 0.998 Er

(3)
KErSe GGA-PBE relaxed; space-group type = Amm2; VASP energy = -21.70 eV per cell; density = 4.674 g/cm3; E_form (uncorrected) = -0.568 eV per atom
1.0
-1.383 2.541 -2.530
-2.406 -2.271 1.954
-0.967 10.896 11.471
Er K Se
2 2 2
direct
0.612 0.224 0.382 Er
0.612 0.224 0.618 Er
0.277 0.553 0.861 K
0.277 0.553 0.139 K
0.279 0.558 0.500 Se
0.610 0.220 0.000 Se

(4)
K3SmEr2Se6 GGA-PBE relaxed; space-group type = C2/m; VASP energy = -59.13 eV per cell; density = 5.024 g/cm3; E_form (uncorrected) = -1.757 eV per atom
1.0
-4.487 -4.766 3.252
6.428 1.646 3.066
-3.963 6.798 1.757
Se K Sm Er
6 3 1 2
direct
0.068 0.409 0.205 Se
0.728 0.728 0.205 Se
0.409 0.068 0.205 Se
0.591 0.932 0.795 Se
0.272 0.272 0.795 Se
0.932 0.591 0.795 Se
0.835 0.165 0.500 K
0.500 0.500 0.500 K
0.165 0.835 0.500 K
0.000 0.000 0.000 Sm
0.667 0.333 0.000 Er
0.333 0.667 0.000 Er

(5)
K3Sm3ErSe8 GGA-PBE relaxed; space-group type = C2/m; VASP energy = -74.92 eV per cell; density = 4.673 g/cm3; E_form (uncorrected) = -1.669 eV per atom
1.0
8.450 0.000 0.000
-4.225 7.324 -0.031
0.000 -4.855 7.872
Se K Er Sm
8 3 1 3
direct
0.259 0.028 0.297 Se
0.231 0.972 0.703 Se
0.769 0.539 0.297 Se
0.737 0.473 0.710 Se
0.263 0.527 0.290 Se
0.741 0.972 0.703 Se
0.769 0.028 0.297 Se
0.231 0.461 0.703 Se
0.500 0.500 0.000 K
0.000 0.000 0.000 K
0.000 0.500 0.000 K
0.000 0.000 0.500 Er
0.500 0.500 0.500 Sm
0.000 0.500 0.500 Sm
0.500 0.000 0.500 Sm

(6)
KSm2ErSe4 GGA-PBE relaxed; space-group type = P2/m; VASP energy = -42.67 eV per cell; density = 6.431 g/cm3; E_form (uncorrected) = -1.704 eV per atom
1.0
-1.686 3.330 -1.825
-3.728 1.475 6.135
4.111 4.399 4.230
Sm Se Er K
2 4 1 1
direct
0.500 0.000 0.500 Sm
0.000 0.000 0.000 Sm
0.000 0.241 0.268 Se
0.000 0.759 0.732 Se
0.500 0.746 0.263 Se
0.500 0.254 0.737 Se
0.000 0.500 0.500 Er
0.500 0.500 0.000 K

(7)
K4SmEr3Se8 GGA-PBE relaxed; space-group type = R-3m; VASP energy = -78.77 eV per cell; density = 5.070 g/cm3; E_form (uncorrected) = -1.756 eV per atom
1.0
8.421 0.000 0.000
0.000 9.081 0.457
-4.210 -4.207 5.958
Se K Sm Er
8 4 1 3
direct
0.762 0.294 0.033 Se
0.729 0.706 0.967 Se
0.238 0.706 0.967 Se
0.266 0.297 0.531 Se
0.238 0.706 0.477 Se
0.762 0.294 0.523 Se
0.271 0.294 0.033 Se
0.734 0.703 0.469 Se
0.500 0.000 0.500 K
0.000 0.000 0.000 K
0.000 0.000 0.500 K
0.500 0.000 0.000 K
0.000 0.500 0.000 Sm
0.500 0.500 0.500 Er
0.500 0.500 0.000 Er
0.000 0.500 0.500 Er

(8)
KSmEr4Se8 GGA-PBE relaxed; space-group type = R3m; VASP energy = -76.25 eV per cell; density = 5.575 g/cm3; E_form (uncorrected) = -1.736 eV per atom
1.0
8.510 0.000 0.000
4.255 7.370 0.000
4.255 2.457 7.076
Er K Se Sm
4 1 8 1
direct
0.486 0.005 0.505 Er
0.005 0.486 0.505 Er
0.626 0.626 0.123 Er
0.005 0.005 0.505 Er
0.371 0.371 0.886 K
0.240 0.794 0.726 Se
0.233 0.233 0.300 Se
0.754 0.754 0.262 Se
0.758 0.758 0.727 Se
0.230 0.754 0.262 Se
0.754 0.230 0.262 Se
0.794 0.240 0.726 Se
0.240 0.240 0.726 Se
0.005 0.005 0.985 Sm

(9)
K4Sm3ErSe8 GGA-PBE relaxed; space-group type = R-3m; VASP energy = -79.10 eV per cell; density = 4.805 g/cm3; E_form (uncorrected) = -1.757 eV per atom
1.0
8.540 0.000 0.000
0.000 9.131 0.406
-4.270 -4.265 6.043
Sm Se Er K
3 8 1 4
direct
0.000 0.500 0.500 Sm
0.500 0.500 0.000 Sm
0.500 0.500 0.500 Sm
0.258 0.293 0.026 Se
0.768 0.293 0.535 Se
0.737 0.710 0.473 Se
0.232 0.707 0.465 Se
0.742 0.707 0.974 Se
0.263 0.290 0.527 Se
0.232 0.707 0.974 Se
0.768 0.293 0.026 Se
0.000 0.500 0.000 Er
0.000 0.000 0.500 K
0.000 0.000 0.000 K
0.500 0.000 0.000 K
0.500 0.000 0.500 K

(10)
K2Er2SnSe6 GGA-PBE relaxed; space-group type = C2/m; VASP energy = -51.04 eV per cell; density = 4.866 g/cm3; E_form (uncorrected) = -1.346 eV per atom
1.0
7.069 -0.023 0.065
-3.514 6.133 0.065
-1.264 -2.172 7.880
K Se Er Sn
2 6 2 1
direct
0.168 0.832 0.000 K
0.832 0.168 0.000 K
0.931 0.608 0.301 Se
0.069 0.392 0.699 Se
0.392 0.069 0.699 Se
0.253 0.253 0.304 Se
0.608 0.931 0.301 Se
0.747 0.747 0.696 Se
0.332 0.668 0.500 Er
0.668 0.332 0.500 Er
0.000 0.000 0.500 Sn

(11)
K3Er2SnSe6 GGA-PBE relaxed; space-group type = C2/m; VASP energy = -54.15 eV per cell; density = 4.926 g/cm3; E_form (uncorrected) = -1.402 eV per atom
1.0
-3.894 3.960 -4.707
5.681 -3.900 -2.351
-5.217 -6.017 1.128
Er Se K Sn
2 6 3 1
direct
0.667 0.333 0.000 Er
0.333 0.667 0.000 Er
0.932 0.595 0.797 Se
0.405 0.068 0.203 Se
0.595 0.932 0.797 Se
0.269 0.269 0.797 Se
0.068 0.405 0.203 Se
0.731 0.731 0.203 Se
0.835 0.165 0.500 K
0.165 0.835 0.500 K
0.500 0.500 0.500 K
0.000 0.000 0.000 Sn

(12)
K3Er3SnSe8 GGA-PBE relaxed; space-group type = R-3m; VASP energy = -70.74 eV per cell; density = 4.941 g/cm3; E_form (uncorrected) = -1.459 eV per atom
1.0
-7.198 -1.571 -3.664
6.933 0.109 -4.428
-1.239 -7.218 5.529
Er Se K Sn
3 8 3 1
direct
0.500 0.500 0.500 Er
0.000 0.500 0.500 Er
0.500 0.000 0.500 Er
0.743 0.971 0.699 Se
0.257 0.029 0.301 Se
0.772 0.029 0.301 Se
0.772 0.544 0.301 Se
0.228 0.971 0.699 Se
0.266 0.532 0.298 Se
0.228 0.456 0.699 Se
0.734 0.468 0.702 Se
0.000 0.500 0.000 K
0.500 0.500 0.000 K
0.000 0.000 0.000 K
0.000 0.000 0.500 Sn

(13)
K4Er3SnSe8 GGA-PBE relaxed; space-group type = R-3m; VASP energy = -73.92 eV per cell; density = 4.997 g/cm3; E_form (uncorrected) = -1.498 eV per atom
1.0
8.394 0.000 0.000
0.000 9.063 0.466
-4.197 -4.192 5.938
Se K Er Sn
8 4 3 1
direct
0.268 0.297 0.033 Se
0.764 0.297 0.529 Se
0.236 0.703 0.967 Se
0.732 0.703 0.967 Se
0.735 0.704 0.469 Se
0.236 0.703 0.471 Se
0.764 0.297 0.033 Se
0.265 0.296 0.531 Se
0.500 0.000 0.000 K
0.000 0.000 0.000 K
0.500 0.000 0.500 K
0.000 0.000 0.500 K
0.500 0.500 0.500 Er
0.500 0.500 0.000 Er
0.000 0.500 0.500 Er
0.000 0.500 0.000 Sn

(14)
K3SrEr2Se6 GGA-PBE relaxed; space-group type = C2/m; VASP energy = -54.34 eV per cell; density = 4.580 g/cm3; E_form (uncorrected) = -1.611 eV per atom
1.0
-2.891 -4.961 -4.687
7.328 1.095 0.187
-0.805 -4.193 6.898
Se Sr Er K
6 1 2 3
direct
0.574 0.930 0.792 Se
0.070 0.426 0.208 Se
0.287 0.287 0.793 Se
0.930 0.574 0.792 Se
0.713 0.713 0.207 Se
0.426 0.070 0.208 Se
0.000 0.000 0.000 Sr
0.333 0.667 0.000 Er
0.667 0.333 0.000 Er
0.162 0.838 0.500 K
0.838 0.162 0.500 K
0.500 0.500 0.500 K

(15)
K3Er3TaSe8 GGA-PBE relaxed; space-group type = R-3m; VASP energy = -79.30 eV per cell; density = 5.321 g/cm3; E_form (uncorrected) = -1.506 eV per atom
1.0
8.097 0.000 0.000
-4.048 7.014 -0.029
0.000 -4.644 7.887
Se K Er Ta
8 3 3 1
direct
0.221 0.443 0.694 Se
0.735 0.470 0.705 Se
0.779 0.027 0.306 Se
0.248 0.027 0.306 Se
0.221 0.973 0.694 Se
0.265 0.530 0.295 Se
0.779 0.557 0.306 Se
0.752 0.973 0.694 Se
0.500 0.500 0.000 K
0.000 0.500 0.000 K
0.000 0.000 0.000 K
0.500 0.500 0.500 Er
0.500 0.000 0.500 Er
0.000 0.500 0.500 Er
0.000 0.000 0.500 Ta

(16)
K3TbEr2Se6 GGA-PBE relaxed; space-group type = C2/m; VASP energy = -59.08 eV per cell; density = 5.124 g/cm3; E_form (uncorrected) = -1.761 eV per atom
1.0
-3.262 -6.487 0.359
3.578 1.941 -6.023
6.334 -1.566 4.720
K Se Tb Er
3 6 1 2
direct
0.834 0.166 0.500 K
0.166 0.834 0.500 K
0.500 0.500 0.500 K
0.732 0.732 0.204 Se
0.932 0.596 0.796 Se
0.268 0.268 0.796 Se
0.404 0.068 0.204 Se
0.068 0.404 0.204 Se
0.596 0.932 0.796 Se
0.000 0.000 0.000 Tb
0.667 0.333 0.000 Er
0.333 0.667 0.000 Er

(17)
KTb4ErSe8 GGA-PBE relaxed; space-group type = R3m; VASP energy = -76.57 eV per cell; density = 5.449 g/cm3; E_form (uncorrected) = -1.751 eV per atom
1.0
8.618 0.000 0.000
4.309 7.464 0.000
4.309 2.488 6.981
K Se Tb Er
1 8 4 1
direct
0.377 0.377 0.870 K
0.235 0.235 0.294 Se
0.232 0.232 0.738 Se
0.758 0.758 0.727 Se
0.759 0.759 0.256 Se
0.226 0.759 0.256 Se
0.759 0.226 0.256 Se
0.232 0.797 0.738 Se
0.797 0.232 0.738 Se
0.005 0.005 0.505 Tb
0.005 0.485 0.505 Tb
0.485 0.005 0.505 Tb
0.625 0.625 0.126 Tb
0.005 0.005 0.986 Er

(18)
K2TbErSe4 GGA-PBE relaxed; space-group type = P2/m; VASP energy = -39.42 eV per cell; density = 5.083 g/cm3; E_form (uncorrected) = -1.762 eV per atom
1.0
-0.456 -3.269 2.607
0.283 -4.562 -5.671
7.534 1.058 2.644
Tb Se K Er
1 4 2 1
direct
0.500 0.500 0.000 Tb
0.500 0.768 0.796 Se
0.000 0.738 0.205 Se
0.500 0.232 0.204 Se
0.000 0.262 0.795 Se
0.000 0.500 0.500 K
0.500 0.000 0.500 K
0.000 0.000 0.000 Er

(19)
K4TbEr3Se8 GGA-PBE relaxed; space-group type = R-3m; VASP energy = -78.74 eV per cell; density = 5.144 g/cm3; E_form (uncorrected) = -1.760 eV per atom
1.0
8.386 0.000 0.000
0.000 9.067 0.471
-4.193 -4.190 5.932
Er Se K Tb
3 8 4 1
direct
0.500 0.500 0.000 Er
0.500 0.500 0.500 Er
0.000 0.500 0.500 Er
0.732 0.704 0.968 Se
0.764 0.296 0.032 Se
0.236 0.704 0.472 Se
0.734 0.703 0.469 Se
0.236 0.704 0.968 Se
0.268 0.296 0.032 Se
0.764 0.296 0.528 Se
0.266 0.297 0.531 Se
0.000 0.000 0.500 K
0.000 0.000 0.000 K
0.500 0.000 0.500 K
0.500 0.000 0.000 K
0.000 0.500 0.000 Tb

(20)
KErTeSe GGA-PBE relaxed; space-group type = R3m; VASP energy = -18.41 eV per cell; density = 5.275 g/cm3; E_form (uncorrected) = -1.531 eV per atom
1.0
-1.276 -0.575 4.054
4.184 0.192 -0.924
-0.672 8.402 -1.288
K Te Se Er
1 1 1 1
direct
0.974 0.385 0.374 K
0.107 0.952 0.074 Te
0.503 0.149 0.668 Se
0.293 0.544 0.853 Er